# NaCuMoF6 | Alexandria | PBE+U | optimized geometry
# DOS(E_F)   21.49 states/eV/cell
# Total magnetic moment   3.2 μB/f.u.
# E   -4.851 eV per atom
# Density   4.10 Mg/m³
data_NaCuMoF6
_chemical_formula_sum 'Na2 Cu2 Mo2 F12'
_cell_length_a 5.5445
_cell_length_b 5.5445
_cell_length_c 9.0253
_cell_angle_alpha 90.00
_cell_angle_beta 90.00
_cell_angle_gamma 120.00
_symmetry_space_group_name_H-M 'P -3 1 c'
_symmetry_Int_Tables_number 163
_symmetry_space_group_name_Hall '-P 3 2c'
loop_
_atom_site_label
_atom_site_type_symbol
_atom_site_fract_x
_atom_site_fract_y
_atom_site_fract_z
Na1 Na 0.3333 0.6667 0.2500
Cu1 Cu 0.0000 0.0000 0.0000
Mo1 Mo 0.3333 0.6667 0.7500
F1 F 0.0306 0.3462 0.6246